GdDyGe2Pt4, relaxed, DFT PBE-GGA; electronic total energy = -6.305 eV/atom
1.0
4.388 0.000 0.000
-2.194 3.800 0.000
0.000 0.000 9.162
Gd Dy Ge Pt
1 1 2 4
Direct
0.000 0.000 0.000 Gd
0.333 0.667 0.500 Dy
0.667 0.333 0.251 Ge
0.667 0.333 0.749 Ge
0.000 0.000 0.336 Pt
0.000 0.000 0.664 Pt
0.333 0.667 0.168 Pt
0.333 0.667 0.832 Pt


Zr2CoB2, relaxed, DFT PBE-GGA; electronic total energy = -8.137 eV/atom
1.0
1.593 -5.784 0.000
1.593 5.784 0.000
0.000 0.000 3.470
Zr Co B
2 1 2
Direct
0.133 0.867 0.000 Zr
0.867 0.133 0.000 Zr
0.500 0.500 0.500 Co
0.290 0.710 0.500 B
0.710 0.290 0.500 B


Hf3CdC2, relaxed, DFT PBE-GGA; electronic total energy = -8.926 eV/atom
1.0
3.300 0.000 0.000
-1.650 2.858 0.000
0.000 0.000 20.341
Hf Cd C
6 2 4
Direct
0.000 0.000 0.000 Hf
0.000 0.000 0.500 Hf
0.333 0.667 0.126 Hf
0.333 0.667 0.374 Hf
0.667 0.333 0.626 Hf
0.667 0.333 0.874 Hf
0.000 0.000 0.250 Cd
0.000 0.000 0.750 Cd
0.333 0.667 0.568 C
0.333 0.667 0.932 C
0.667 0.333 0.068 C
0.667 0.333 0.432 C


AcDyTl, relaxed, DFT PBE-GGA; E above lowest polymorph = 503 meV per atom
1.0
0.000 3.898 3.898
3.898 0.000 3.898
3.898 3.898 0.000
Ac Dy Tl
1 1 1
Direct
0.000 0.000 0.000 Ac
0.750 0.750 0.750 Dy
0.250 0.250 0.250 Tl


YTlCdCu, relaxed, DFT PBE-GGA; E above lowest polymorph = 19 meV per atom
1.0
0.000 3.516 3.516
3.516 0.000 3.516
3.516 3.516 0.000
Y Tl Cd Cu
1 1 1 1
Direct
0.000 0.000 0.000 Y
0.250 0.250 0.250 Tl
0.750 0.750 0.750 Cd
0.500 0.500 0.500 Cu


Zn2ReSe2, relaxed, DFT PBE-GGA; electronic total energy = -3.888 eV/atom
1.0
4.310 0.000 0.000
-2.155 3.732 0.000
0.000 0.000 10.999
Zn Re Se
4 2 4
Direct
0.000 0.000 0.000 Zn
0.000 0.000 0.500 Zn
0.333 0.667 0.250 Zn
0.667 0.333 0.750 Zn
0.000 0.000 0.250 Re
0.000 0.000 0.750 Re
0.333 0.667 0.615 Se
0.333 0.667 0.885 Se
0.667 0.333 0.115 Se
0.667 0.333 0.385 Se


Y5Er3Te, relaxed, DFT PBE-GGA; E above lowest polymorph = 5 meV per atom
1.0
9.199 0.000 0.000
-4.600 7.967 0.000
0.000 0.000 3.795
Y Er Te
5 3 1
Direct
0.000 0.617 0.000 Y
0.333 0.667 0.500 Y
0.383 0.383 0.000 Y
0.617 0.000 0.000 Y
0.667 0.333 0.500 Y
0.000 0.273 0.500 Er
0.273 0.000 0.500 Er
0.727 0.727 0.500 Er
0.000 0.000 0.000 Te


TbTmCu2B2N2, relaxed, DFT PBE-GGA; electronic total energy = -6.716 eV/atom
1.0
3.485 0.000 0.000
0.000 3.485 0.000
0.000 0.000 7.687
Tb Tm Cu B N
1 1 2 2 2
Direct
0.000 0.000 0.000 Tb
0.500 0.500 0.329 Tm
0.000 0.500 0.665 Cu
0.500 0.000 0.665 Cu
0.000 0.000 0.492 B
0.500 0.500 0.841 B
0.000 0.000 0.304 N
0.500 0.500 0.030 N


Li2CuMoH6, relaxed, DFT PBE-GGA; electronic total energy = -3.751 eV/atom
1.0
0.000 3.535 3.535
3.535 0.000 3.535
3.535 3.535 0.000
Li Cu Mo H
2 1 1 6
Direct
0.250 0.250 0.250 Li
0.750 0.750 0.750 Li
0.000 0.000 0.000 Cu
0.500 0.500 0.500 Mo
0.242 0.242 0.758 H
0.242 0.758 0.242 H
0.242 0.758 0.758 H
0.758 0.242 0.242 H
0.758 0.242 0.758 H
0.758 0.758 0.242 H


GdBePO, relaxed, DFT PBE-GGA; E above lowest polymorph = 316 meV per atom
1.0
3.054 0.000 0.000
0.000 5.541 0.000
0.000 0.000 6.899
Gd Be P O
2 2 2 2
Direct
0.000 0.209 0.000 Gd
0.000 0.791 0.500 Gd
0.500 0.277 0.373 Be
0.500 0.723 0.873 Be
0.500 0.390 0.678 P
0.500 0.610 0.178 P
0.000 0.146 0.332 O
0.000 0.854 0.832 O


NbTc, relaxed, DFT PBE-GGA; ΔH_f (0 K) = 1.732 eV/atom
1.0
0.000 2.871 2.871
2.871 0.000 2.871
2.871 2.871 0.000
Nb Tc
1 1
Direct
0.000 0.000 0.000 Nb
0.750 0.750 0.750 Tc


LiGeTe2AuS, relaxed, DFT PBE-GGA; electronic total energy = -3.510 eV/atom
1.0
2.021 -6.519 0.000
2.021 6.519 0.000
0.000 0.000 10.605
Li Ge Te Au S
2 2 4 2 2
Direct
0.213 0.787 0.750 Li
0.787 0.213 0.250 Li
0.500 0.500 0.000 Ge
0.500 0.500 0.500 Ge
0.163 0.837 0.061 Te
0.163 0.837 0.439 Te
0.837 0.163 0.561 Te
0.837 0.163 0.939 Te
0.016 0.984 0.250 Au
0.984 0.016 0.750 Au
0.409 0.591 0.250 S
0.591 0.409 0.750 S